# 1
DFT (PBE) results for SrCe2Ga after structural relaxation.

Geometry as POSCAR:
```
SrCe2Ga
1.0
1.7855 1.0308 11.6899
-1.7855 1.0308 11.6899
0.0000 -2.0617 11.6899
Sr Ce Ga
1 2 1
direct
0.0000 0.0000 0.0000
0.1022 0.1022 0.1022
0.8978 0.8978 0.8978
0.5000 0.5000 0.5000
```

Computed properties:
E = -4.01 eV per atom
Space-group type = R-3m, No. 166
Fermi-level density of states = 11.187 states/eV/f.u.
DFT formation energy = 0.136 eV/atom

---

# 2
DFT (PBE) results for SrCe2Ga6 after structural relaxation.

Geometry as POSCAR:
```
SrCe2Ga6
1.0
-2.2904 3.7092 6.4053
2.2904 -3.7092 6.4053
2.2904 3.7092 -6.4053
Sr Ce Ga
1 2 6
direct
0.0000 0.0000 0.0000
0.3911 0.8911 0.5000
0.6089 0.1089 0.5000
0.0082 0.3085 0.6996
0.3115 0.5000 0.8115
0.3911 0.6915 0.6996
0.6089 0.3085 0.3004
0.6885 0.5000 0.1885
0.9918 0.6915 0.3004
```

Computed properties:
E = -3.94 eV per atom
Space-group type = Immm, No. 71
Fermi-level density of states = 9.010 states/eV/f.u.
DFT formation energy = -0.416 eV/atom

---

# 3
DFT (PBE) results for SrCe2Ga6 after structural relaxation.

Geometry as POSCAR:
```
SrCe2Ga6
1.0
7.4674 0.0000 0.0000
-3.7337 6.4670 0.0000
0.0000 0.0000 4.3606
Sr Ce Ga
1 2 6
direct
0.0000 0.0000 0.0000
0.3333 0.6667 0.0000
0.6667 0.3333 0.0000
0.0000 0.3370 0.5000
0.0000 0.6630 0.5000
0.3370 0.0000 0.5000
0.3370 0.3370 0.5000
0.6630 0.0000 0.5000
0.6630 0.6630 0.5000
```

Computed properties:
E = -4.06 eV per atom
Space-group type = P6/mmm, No. 191
Fermi-level density of states = 13.951 states/eV/f.u.
DFT formation energy = -0.532 eV/atom

---

# 4
DFT (PBE) results for SrCeGa after structural relaxation.

Geometry as POSCAR:
```
SrCeGa
1.0
3.7729 0.0000 0.0000
0.0000 3.9231 0.0000
-0.3206 0.0000 12.3144
Sr Ce Ga
2 2 2
direct
0.2354 0.2500 0.3578
0.7646 0.7500 0.6422
0.1772 0.2500 0.0606
0.8228 0.7500 0.9394
0.2961 0.2500 0.8081
0.7039 0.7500 0.1919
```

Computed properties:
E = -3.86 eV per atom
Space-group type = P2_1/m, No. 11
Fermi-level density of states = 4.494 states/eV/f.u.
DFT formation energy = -0.310 eV/atom

---

# 5
DFT (PBE) results for Sr2CeGa4 after structural relaxation.

Geometry as POSCAR:
```
Sr2CeGa4
1.0
-2.1672 2.2097 9.9808
2.1672 -2.2097 9.9808
2.1672 2.2097 -9.9808
Sr Ce Ga
2 1 4
direct
0.1829 0.1829 0.0000
0.8171 0.8171 0.0000
0.0000 0.5000 0.5000
0.3703 0.3703 0.0000
0.4385 0.9385 0.5000
0.5615 0.0615 0.5000
0.6297 0.6297 0.0000
```

Computed properties:
E = -3.53 eV per atom
Space-group type = Immm, No. 71
Fermi-level density of states = 9.226 states/eV/f.u.
DFT formation energy = -0.467 eV/atom

---

# 6
DFT (PBE) results for SrCe2Ga after structural relaxation.

Geometry as POSCAR:
```
SrCe2Ga
1.0
3.9274 0.0000 0.0000
0.0000 3.9274 0.0000
0.0000 0.0000 8.6353
Sr Ce Ga
1 2 1
direct
0.0000 0.0000 0.0000
0.5000 0.5000 0.3430
0.5000 0.5000 0.6570
0.0000 0.0000 0.5000
```

Computed properties:
E = -4.24 eV per atom
Space-group type = P4/mmm, No. 123
Fermi-level density of states = 11.971 states/eV/f.u.
DFT formation energy = -0.094 eV/atom

---

# 7
DFT (PBE) results for SrCe2Ga4 after structural relaxation.

Geometry as POSCAR:
```
SrCe2Ga4
1.0
-2.1202 2.2340 9.4322
2.1202 -2.2340 9.4322
2.1202 2.2340 -9.4322
Sr Ce Ga
1 2 4
direct
0.0000 0.0000 0.0000
0.1882 0.6882 0.5000
0.8118 0.3118 0.5000
0.3539 0.8539 0.5000
0.4320 0.4320 0.0000
0.5680 0.5680 0.0000
0.6461 0.1461 0.5000
```

Computed properties:
E = -4.12 eV per atom
Space-group type = Immm, No. 71
Fermi-level density of states = 12.902 states/eV/f.u.
DFT formation energy = -0.452 eV/atom

---

# 8
DFT (PBE) results for SrCeGa after structural relaxation.

Geometry as POSCAR:
```
SrCeGa
1.0
-1.8538 1.8538 6.9911
1.8538 -1.8538 6.9911
1.8538 1.8538 -6.9911
Sr Ce Ga
1 1 1
direct
0.0000 0.0000 0.0000
0.2701 0.2701 0.0000
0.6514 0.6514 0.0000
```

Computed properties:
E = -3.70 eV per atom
Space-group type = I4mm, No. 107
Fermi-level density of states = 7.246 states/eV/f.u.
DFT formation energy = -0.152 eV/atom

---

# 9
DFT (PBE) results for SrCeGa3 after structural relaxation.

Geometry as POSCAR:
```
SrCeGa3
1.0
2.2737 -13.1674 0.0000
2.2737 13.1674 0.0000
0.0000 0.0000 4.2954
Sr Ce Ga
2 2 6
direct
0.0734 0.9266 0.7500
0.9266 0.0734 0.2500
0.2048 0.7952 0.2500
0.7952 0.2048 0.7500
0.3234 0.6766 0.2500
0.3791 0.6209 0.7500
0.4758 0.5242 0.7500
0.5242 0.4758 0.2500
0.6209 0.3791 0.2500
0.6766 0.3234 0.7500
```

Computed properties:
E = -3.80 eV per atom
Space-group type = Cmcm, No. 63
Fermi-level density of states = 7.246 states/eV/f.u.
DFT formation energy = -0.460 eV/atom

---

# 10
DFT (PBE) results for SrCeGa after structural relaxation.

Geometry as POSCAR:
```
SrCeGa
1.0
3.9307 0.0000 0.0000
0.0000 3.9307 0.0000
0.0000 0.0000 12.5588
Sr Ce Ga
2 2 2
direct
0.0000 0.0000 0.1482
0.0000 0.0000 0.8518
0.5000 0.5000 0.3940
0.5000 0.5000 0.6060
0.0000 0.0000 0.5000
0.5000 0.5000 0.0000
```

Computed properties:
E = -3.74 eV per atom
Space-group type = P4/mmm, No. 123
Fermi-level density of states = 5.673 states/eV/f.u.
DFT formation energy = -0.196 eV/atom

---

# 11
DFT (PBE) results for SrCeTlGa after structural relaxation.

Geometry as POSCAR:
```
SrCeTlGa
1.0
0.0000 3.8888 3.8888
3.8888 0.0000 3.8888
3.8888 3.8888 0.0000
Sr Ce Tl Ga
1 1 1 1
direct
0.0000 0.0000 0.0000
0.5000 0.5000 0.5000
0.7500 0.7500 0.7500
0.2500 0.2500 0.2500
```

Computed properties:
E = -3.54 eV per atom
Space-group type = F-43m, No. 216
Fermi-level density of states = 8.182 states/eV/f.u.
DFT formation energy = -0.287 eV/atom

---

# 12
DFT (PBE) results for CeTaGa after structural relaxation.

Geometry as POSCAR:
```
CeTaGa
1.0
4.8666 0.0000 0.0000
-2.4333 4.2146 0.0000
0.0000 0.0000 5.9425
Ce Ta Ga
2 2 2
direct
0.0000 0.0000 0.0000
0.0000 0.0000 0.5000
0.3333 0.6667 0.2500
0.6667 0.3333 0.7500
0.3333 0.6667 0.7500
0.6667 0.3333 0.2500
```

Computed properties:
E = -6.97 eV per atom
Space-group type = P6_3/mmc, No. 194
Fermi-level density of states = 2.937 states/eV/f.u.
DFT formation energy = -0.036 eV/atom